# 1
This record from Alexandria via LeMat-Bulk describes a relaxed KLi2DyF6 crystal. The functional is PBE-GGA.

a b c (Å): 5.632 5.630 5.905
angles (deg): 61.51 61.50 60.01
Fractional positions:
K (0.789, 0.788, 0.635)
Li (0.523, 0.523, 0.430)
Li (0.022, 0.023, 0.932)
Dy (0.309, 0.309, 0.072)
F (0.616, 0.268, 0.227)
F (0.268, 0.888, 0.227)
F (0.888, 0.617, 0.227)
F (0.312, 0.731, 0.755)
F (0.731, 0.203, 0.755)
F (0.202, 0.312, 0.755)

* symmetry: R3

***

# 2
This record from Alexandria via LeMat-Bulk describes a relaxed K2LiDyF6 crystal. The functional is PBE-GGA.

a b c (Å): 6.031 6.028 8.539
angles (deg): 90.00 90.11 90.00
Fractional positions:
K (0.002, 0.985, 0.249)
K (0.502, 0.515, 0.749)
K (0.998, 0.015, 0.751)
K (0.498, 0.485, 0.251)
Li (0.500, 0.000, 0.500)
Li (0.000, 0.500, 0.000)
Dy (0.500, 0.000, 0.000)
Dy (0.000, 0.500, 0.500)
F (0.274, 0.719, 0.022)
F (0.774, 0.781, 0.522)
F (0.726, 0.281, 0.978)
F (0.226, 0.219, 0.478)
F (0.281, 0.726, 0.478)
F (0.781, 0.774, 0.978)
F (0.719, 0.274, 0.522)
F (0.219, 0.226, 0.022)
F (0.957, 0.507, 0.246)
F (0.457, 0.993, 0.746)
F (0.043, 0.493, 0.754)
F (0.543, 0.007, 0.254)

* symmetry: P2_1/c

***

# 3
This record from Alexandria via LeMat-Bulk describes a relaxed KLiDyF5 crystal. The functional is PBE-GGA.

a b c (Å): 6.196 6.196 8.269
angles (deg): 103.47 103.47 107.27
Fractional positions:
K (0.341, 0.659, 0.250)
K (0.659, 0.341, 0.750)
Li (0.685, 0.315, 0.250)
Li (0.315, 0.685, 0.750)
Dy (0.000, 0.000, 0.500)
Dy (0.000, 0.000, 0.000)
F (0.076, 0.924, 0.250)
F (0.924, 0.076, 0.750)
F (0.900, 0.296, 0.115)
F (0.100, 0.704, 0.885)
F (0.704, 0.100, 0.385)
F (0.296, 0.900, 0.615)
F (0.755, 0.628, 0.406)
F (0.245, 0.372, 0.594)
F (0.372, 0.245, 0.094)
F (0.628, 0.755, 0.906)

* symmetry: C2/c

***

# 4
This record from Alexandria via LeMat-Bulk describes a relaxed K2DyMg3F12 crystal. The functional is PBE-GGA.

a b c (Å): 6.963 6.963 6.963
angles (deg): 64.72 64.72 64.72
Fractional positions:
K (0.610, 0.610, 0.610)
K (0.390, 0.390, 0.390)
Dy (0.000, 0.000, 0.000)
Mg (0.500, 0.000, 0.000)
Mg (0.000, 0.500, 0.000)
Mg (0.000, 0.000, 0.500)
F (0.273, 0.273, 0.899)
F (0.873, 0.873, 0.382)
F (0.382, 0.873, 0.873)
F (0.899, 0.273, 0.273)
F (0.873, 0.382, 0.873)
F (0.273, 0.899, 0.273)
F (0.727, 0.727, 0.101)
F (0.127, 0.127, 0.618)
F (0.618, 0.127, 0.127)
F (0.101, 0.727, 0.727)
F (0.127, 0.618, 0.127)
F (0.727, 0.101, 0.727)

* symmetry: R-3m

***

# 5
This record from Alexandria via LeMat-Bulk describes a relaxed K2DyMgF6 crystal. The functional is PBE-GGA.

a b c (Å): 6.494 5.787 8.621
angles (deg): 90.00 90.00 90.00
Fractional positions:
K (0.500, 0.750, 0.231)
K (0.000, 0.250, 0.731)
K (0.500, 0.750, 0.769)
K (0.000, 0.250, 0.269)
Dy (0.500, 0.250, 0.500)
Dy (0.000, 0.750, 0.000)
Mg (0.000, 0.750, 0.500)
Mg (0.500, 0.250, 0.000)
F (0.500, 0.250, 0.242)
F (0.500, 0.250, 0.758)
F (0.000, 0.750, 0.258)
F (0.000, 0.750, 0.742)
F (0.214, 0.011, 0.500)
F (0.786, 0.011, 0.500)
F (0.214, 0.489, 0.500)
F (0.786, 0.489, 0.500)
F (0.714, 0.511, 0.000)
F (0.286, 0.511, 0.000)
F (0.286, 0.989, 0.000)
F (0.714, 0.989, 0.000)

* symmetry: Immm

***

Record-wise formation energy without anion corrections values, in meV/atom: -3355 -3356 -3512 -3259 -3168
Record-wise magnetic moment values, in μB per cell: 0.0 0.0 0.3 1.1 1.0